ThF: optimized geometry, GGA-PBE.

POSCAR file:
```
ThF
1.0
3.272 0.000 0.000
-1.636 2.834 0.000
0.000 0.000 4.140
Th F
1 1
direct
0.000 0.000 0.000 Th
0.333 0.667 0.500 F
```

Energy above the lowest structure with this stoichiometry: 386 meV/atom
Total moment: 0.560 μB per formula unit